[1]
{
  "formula": "YCr2Cl",
  "functional": "PBE",
  "state": "relaxed",
  "magmom_total_mub_per_atom": 1.88,
  "dft_energy_ev_per_fu": -26.25,
  "polymorph_energy_ev_per_atom": 0.462,
  "e_form_raw_kj_per_mol_fu": 126,
  "cell": [[-4.6786, 2.5578, 0.2185], [-5.2821, -0.5310, -0.5447], [-2.8512, -0.6201, 4.7644]],
  "species": ["Cr", "Y", "Cl", "Cr"],
  "fractional_positions": [[0.7157, 0.7157, 0.8002], [0.5419, 0.5419, 0.4125], [0.2879, 0.2879, 0.3490], [0.9544, 0.9544, 0.9383]]
}

---

[2]
{
  "formula": "CaAg2Sn",
  "functional": "PBE",
  "state": "relaxed",
  "magmom_total_mub_per_atom": 0.00,
  "dft_energy_ev_per_fu": -12.75,
  "delta_e_f_ev_per_atom": -0.2612,
  "cell": [[4.7194, 0.0000, 0.0000], [0.0000, 10.1544, 0.0000], [-2.3597, -5.0772, 8.3361]],
  "species": ["Ag", "Sn", "Ca", "Ca", "Ca", "Sn", "Ag", "Ag", "Ag", "Ca", "Ag", "Sn", "Sn", "Ag", "Ag", "Ag"],
  "fractional_positions": [[0.9130, 0.9130, 0.8259], [0.1487, 0.8876, 0.2973], [0.2931, 0.2931, 0.5862], [0.5000, 0.2126, 0.0000], [0.7069, 0.7069, 0.4138], [0.1487, 0.4097, 0.2973], [0.9202, 0.4202, 0.8403], [0.3124, 0.9500, 0.6248], [0.0798, 0.5798, 0.1597], [0.5000, 0.7874, 0.0000], [0.6876, 0.3252, 0.3752], [0.8513, 0.5903, 0.7027], [0.8513, 0.1124, 0.7027], [0.0870, 0.0870, 0.1741], [0.3124, 0.6748, 0.6248], [0.6876, 0.0500, 0.3752]]
}

---

[3]
{
  "formula": "DyScPa",
  "functional": "PBE",
  "state": "relaxed",
  "magmom_total_mub_per_atom": 0.04,
  "dft_energy_ev_per_fu": -20.03,
  "delta_e_f_ev_per_atom": 0.1345,
  "polymorph_energy_ev_per_atom": 0.038,
  "cell": [[-2.3792, 1.3944, 1.8168], [1.7437, -0.5955, 2.7405], [3.6251, 6.1354, -2.9631]],
  "species": ["Sc", "Pa", "Dy"],
  "fractional_positions": [[0.6081, 0.6081, 0.2162], [0.9540, 0.9540, 0.9081], [0.2879, 0.2879, 0.5757]]
}

---

[4]
{
  "formula": "Y3Ga8Ag3",
  "functional": "PBE",
  "state": "relaxed",
  "magmom_total_mub_per_atom": 0.00,
  "dft_energy_ev_per_fu": -58.65,
  "delta_e_f_ev_per_atom": -0.4636,
  "cell": [[-2.9397, 1.7759, 2.6205], [1.1104, -3.8011, 7.3825], [4.3980, 4.9218, 5.1591]],
  "species": ["Y", "Ga", "Y", "Ga", "Y", "Ga", "Ag", "Ga", "Ag", "Ga", "Ag", "Ga", "Ga", "Ga"],
  "fractional_positions": [[0.1991, 0.8009, 0.8009], [0.1591, 0.2101, 0.4717], [0.5000, 0.5000, 0.5000], [0.6435, 0.6384, 0.0745], [0.8009, 0.1991, 0.1991], [0.6435, 0.0745, 0.6384], [0.5000, 0.0000, 0.0000], [0.3565, 0.3616, 0.9255], [0.0000, 0.1975, 0.8025], [0.8409, 0.7899, 0.5283], [0.0000, 0.8025, 0.1975], [0.3565, 0.9255, 0.3616], [0.1591, 0.4717, 0.2101], [0.8409, 0.5283, 0.7899]]
}

---

[5]
{
  "formula": "Re3B2W4",
  "functional": "PBE",
  "state": "relaxed",
  "magmom_total_mub_per_atom": 0.00,
  "dft_energy_ev_per_fu": -102.83,
  "delta_e_f_ev_per_atom": -0.0349,
  "cell": [[2.8570, 0.0000, -0.7877], [-0.6325, 6.4820, -2.2940], [0.3319, -0.5501, 6.7785]],
  "species": ["Re", "W", "B", "Re", "Re", "B", "W", "W", "W"],
  "fractional_positions": [[0.0725, 0.1884, 0.1449], [0.6339, 0.8880, 0.2679], [0.6121, 0.4509, 0.2243], [0.9275, 0.8116, 0.8551], [0.0000, 0.5000, 0.0000], [0.3879, 0.5491, 0.7757], [0.2388, 0.6657, 0.4776], [0.7612, 0.3343, 0.5224], [0.3661, 0.1120, 0.7321]]
}

---

[6]
{
  "formula": "BaCrTc2",
  "functional": "PBE",
  "state": "relaxed",
  "magmom_total_mub_per_atom": 0.00,
  "dft_energy_ev_per_fu": -29.21,
  "delta_e_f_ev_per_atom": 0.7673,
  "polymorph_energy_ev_per_atom": 0.211,
  "cell": [[3.6088, 0.0000, 0.0000], [0.0000, 3.0106, 0.0118], [0.0000, 1.4590, 7.5703]],
  "species": ["Tc", "Tc", "Ba", "Cr"],
  "fractional_positions": [[0.0000, 0.0068, 0.9037], [0.0000, 0.4932, 0.5963], [0.5000, 0.2500, 0.2500], [0.5000, 0.7500, 0.7500]]
}